# Tb3Zn7Ga4

A relaxed Tb3Zn7Ga4 crystal (PBE, Alexandria via LeMat-Bulk).

a b c (Å): 4.287 8.166 8.190
angles (deg): 70.50 74.83 74.78
Atoms (fractional coordinates):
Tb 0.300 0.200 0.201
Tb 0.700 0.800 0.799
Tb 0.000 0.500 0.500
Zn 0.345 0.792 0.518
Zn 0.498 0.190 0.813
Zn 0.855 0.366 0.923
Zn 0.655 0.208 0.482
Zn 0.145 0.634 0.077
Zn 0.000 0.000 0.000
Zn 0.502 0.810 0.187
Ga 0.654 0.475 0.217
Ga 0.346 0.525 0.783
Ga 0.858 0.923 0.362
Ga 0.142 0.077 0.638

Computed properties:
- total magnetic moment (μB/cell) = 0.00
- space-group type = C2/m, No. 12
- total energy (eV for the cell shown) = -41.033

***

# As2Pb2Cl

A relaxed As2Pb2Cl crystal (PBE, Alexandria via LeMat-Bulk).

a b c (Å): 4.214 4.214 8.427
angles (deg): 75.52 75.52 90.00
Atoms (fractional coordinates):
Pb 0.386 0.386 0.228
Pb 0.614 0.614 0.772
As 0.750 0.250 0.500
As 0.250 0.750 0.500
Cl 0.000 0.000 0.000

Computed properties:
- relative energy among the computed polymorphs (meV/atom) = 0.0
- ΔE_f (raw) (meV/atom) = -270
- total magnetic moment (μB/cell) = 0.00
- space-group type = I4/mmm, No. 139

***

# HoTm7Sc4

A relaxed HoTm7Sc4 crystal (PBE, Alexandria via LeMat-Bulk).

a b c (Å): 5.668 8.910 8.204
angles (deg): 65.96 69.79 71.45
Site moments in Bohr magnetons follow the coordinates.
Atoms (fractional coordinates):
Ho 0.000 0.000 0.000  -0.20
Tm 0.794 0.880 0.532  -0.01
Tm 0.206 0.120 0.468  -0.01
Tm 0.086 0.559 0.268  -0.01
Tm 0.914 0.441 0.732  -0.01
Tm 0.247 0.719 0.788  -0.01
Tm 0.500 0.000 0.000  -0.21
Tm 0.753 0.281 0.212  -0.01
Sc 0.552 0.296 0.600  -0.01
Sc 0.448 0.704 0.400  -0.01
Sc 0.670 0.655 0.005  -0.01
Sc 0.330 0.345 0.995  -0.01

Computed properties:
- relative energy among the computed polymorphs (meV/atom) = 243.7
- total magnetic moment (μB/cell) = 0.52
- space-group type = C2/m, No. 12